w) AsPdPt3: optimized geometry, PBE.

Density (g/cm3): 15.81

```
AsPdPt3
1.0
3.894 0.000 0.000
-0.014 5.734 0.000
-1.925 -0.194 7.212
As Pd Pt
2 2 6
direct
0.127 0.366 0.255
0.873 0.634 0.745
0.094 0.928 0.187
0.906 0.072 0.813
0.286 0.852 0.574
0.330 0.363 0.659
0.481 0.742 0.959
0.519 0.258 0.041
0.670 0.637 0.341
0.714 0.148 0.426
```

x) AsPdPt3: optimized geometry, PBE.

Density (g/cm3): 11.38

```
AsPdPt3
1.0
4.819 0.000 0.000
0.000 4.819 0.000
0.000 0.000 4.819
As Pd Pt
1 1 3
direct
0.000 0.000 0.000
0.500 0.500 0.500
0.000 0.500 0.500
0.500 0.000 0.500
0.500 0.500 0.000
```

y) AsPdPt3: optimized geometry, PBE.

Density (g/cm3): 12.83

```
AsPdPt3
1.0
4.629 0.000 0.000
0.000 4.629 0.000
0.000 0.000 4.629
As Pd Pt
1 1 3
direct
0.000 0.000 0.000
0.500 0.500 0.500
0.000 0.000 0.500
0.000 0.500 0.000
0.500 0.000 0.000
```

Most stable: w) (next structure +698 meV per atom)

w) AsPd3Pt: optimized geometry, PBE.

Density (g/cm3): 11.97

```
AsPd3Pt
1.0
1.463 -5.794 0.000
1.463 5.794 0.000
0.000 0.000 9.642
As Pd Pt
2 6 2
direct
0.000 0.000 0.000
0.000 0.000 0.500
0.015 0.985 0.750
0.334 0.666 0.070
0.334 0.666 0.430
0.666 0.334 0.570
0.666 0.334 0.930
0.985 0.015 0.250
0.309 0.691 0.750
0.691 0.309 0.250
```

x) AsPd3Pt: optimized geometry, PBE.

Density (g/cm3): 8.53

```
AsPd3Pt
1.0
4.860 0.000 0.000
0.000 4.860 0.000
0.000 0.000 4.860
As Pd Pt
1 3 1
direct
0.000 0.000 0.000
0.000 0.500 0.500
0.500 0.000 0.500
0.500 0.500 0.000
0.500 0.500 0.500
```

y) AsPd3Pt: optimized geometry, PBE.

Density (g/cm3): 11.66

```
AsPd3Pt
1.0
5.074 -1.988 0.000
5.074 1.988 0.000
-0.472 0.000 8.320
As Pd Pt
2 6 2
direct
0.232 0.232 0.166
0.768 0.768 0.834
0.117 0.117 0.881
0.390 0.390 0.391
0.414 0.414 0.857
0.586 0.586 0.143
0.610 0.610 0.609
0.883 0.883 0.119
0.095 0.095 0.391
0.905 0.905 0.609
```

z) AsPd3Pt: optimized geometry, PBE.

Density (g/cm3): 10.16

```
AsPd3Pt
1.0
4.583 0.000 0.000
0.000 4.583 0.000
0.000 0.000 4.583
As Pd Pt
1 3 1
direct
0.000 0.000 0.000
0.000 0.000 0.500
0.000 0.500 0.000
0.500 0.000 0.000
0.500 0.500 0.500
```

Most stable: y) (next structure +67 meV per atom)

w) YAsPd2Pt: optimized geometry, PBE.

Density (g/cm3): 9.10

```
YAsPd2Pt
1.0
4.695 0.000 0.000
0.000 4.695 0.000
0.000 0.000 4.731
Y As Pd Pt
1 1 2 1
direct
0.000 0.000 0.000
0.500 0.500 0.500
0.000 0.500 0.500
0.500 0.000 0.500
0.500 0.500 0.000
```

x) YAsPd2Pt: optimized geometry, PBE.

Density (g/cm3): 8.21

```
YAsPd2Pt
1.0
5.070 0.000 0.000
0.000 5.070 0.000
0.000 0.000 4.500
Y As Pd Pt
1 1 2 1
direct
0.000 0.000 0.000
0.500 0.500 0.000
0.000 0.500 0.500
0.500 0.000 0.500
0.500 0.500 0.500
```

Most stable: w) (next structure +439 meV per atom)

w) Pu2AsPd: optimized geometry, PBE.

Density (g/cm3): 11.06

```
Pu2AsPd
1.0
2.018 1.165 7.128
-2.018 1.165 7.128
0.000 -2.330 7.128
Pu As Pd
2 1 1
direct
0.249 0.249 0.249
0.751 0.751 0.751
0.500 0.500 0.500
0.000 0.000 0.000
```

x) Pu2AsPd: optimized geometry, PBE.

Density (g/cm3): 12.99

```
Pu2AsPd
1.0
3.818 0.000 0.000
0.000 3.818 0.000
0.000 0.000 5.868
Pu As Pd
2 1 1
direct
0.000 0.000 0.243
0.000 0.000 0.757
0.500 0.500 0.000
0.500 0.500 0.500
```

y) Pu2AsPd: optimized geometry, PBE.

Density (g/cm3): 12.95

```
Pu2AsPd
1.0
4.625 0.000 0.000
0.000 4.625 0.000
0.000 0.000 4.011
Pu As Pd
2 1 1
direct
0.000 0.500 0.000
0.500 0.000 0.000
0.000 0.000 0.500
0.500 0.500 0.500
```

z) Pu2AsPd: optimized geometry, PBE.

Density (g/cm3): 12.79

```
Pu2AsPd
1.0
5.998 0.000 0.000
0.000 5.154 0.000
-2.259 0.000 5.625
Pu As Pd
4 2 2
direct
0.109 0.250 0.376
0.325 0.750 0.169
0.675 0.250 0.831
0.891 0.750 0.624
0.190 0.250 0.891
0.810 0.750 0.109
0.404 0.750 0.689
0.596 0.250 0.311
```

Most stable: x) (next structure +13 meV per atom)

w) PuAs2Pd3: optimized geometry, PBE.

Density (g/cm3): 10.78

```
PuAs2Pd3
1.0
8.416 -2.037 0.000
8.416 2.037 0.000
-3.114 0.000 9.610
Pu As Pd
3 6 9
direct
0.000 0.000 0.000
0.156 0.156 0.702
0.844 0.844 0.298
0.199 0.199 0.135
0.364 0.364 0.540
0.457 0.457 0.212
0.543 0.543 0.788
0.636 0.636 0.460
0.801 0.801 0.865
0.041 0.041 0.331
0.218 0.218 0.394
0.318 0.318 0.028
0.377 0.377 0.796
0.500 0.500 0.500
0.623 0.623 0.204
0.682 0.682 0.972
0.782 0.782 0.606
0.959 0.959 0.669
```

x) PuAs2Pd3: optimized geometry, PBE.

Density (g/cm3): 10.82

```
PuAs2Pd3
1.0
7.691 -2.136 0.000
7.691 2.136 0.000
-3.604 0.000 6.662
Pu As Pd
2 4 6
direct
0.144 0.144 0.068
0.856 0.856 0.932
0.203 0.203 0.747
0.491 0.491 0.823
0.509 0.509 0.177
0.797 0.797 0.253
0.057 0.057 0.384
0.311 0.311 0.586
0.395 0.395 0.325
0.605 0.605 0.675
0.689 0.689 0.414
0.943 0.943 0.616
```

Most stable: w) (next structure +30 meV per atom)

w) RbAsPd3: optimized geometry, PBE.

Density (g/cm3): 6.06

```
RbAsPd3
1.0
5.084 0.000 0.000
0.000 5.084 0.000
0.000 0.000 5.084
Rb As Pd
1 1 3
direct
0.000 0.000 0.000
0.500 0.500 0.500
0.000 0.000 0.500
0.000 0.500 0.000
0.500 0.000 0.000
```

x) RbAsPd3: optimized geometry, PBE.

Density (g/cm3): 7.72

```
RbAsPd3
1.0
5.974 0.000 0.000
0.000 5.714 0.000
-0.014 0.000 6.043
Rb As Pd
2 2 6
direct
0.004 0.250 0.428
0.996 0.750 0.572
0.499 0.750 0.228
0.501 0.250 0.772
0.250 0.000 0.999
0.250 0.500 0.999
0.498 0.750 0.631
0.502 0.250 0.369
0.750 0.000 0.001
0.750 0.500 0.001
```

Most stable: x) (next structure +1730 meV per atom)

w) RbAs2Pd: optimized geometry, PBE.

Density (g/cm3): 4.84

```
RbAs2Pd
1.0
-2.608 2.608 8.613
2.608 -2.608 8.613
2.608 2.608 -8.613
Rb As Pd
2 4 2
direct
0.375 0.625 0.750
0.625 0.375 0.250
0.000 0.000 0.000
0.000 0.000 0.500
0.000 0.500 0.000
0.500 0.000 0.500
0.125 0.875 0.250
0.875 0.125 0.750
```

x) RbAs2Pd: optimized geometry, PBE.

Density (g/cm3): 4.26

```
RbAs2Pd
1.0
2.214 1.278 7.846
-2.214 1.278 7.846
0.000 -2.556 7.846
Rb As Pd
1 2 1
direct
0.000 0.000 0.000
0.142 0.142 0.142
0.858 0.858 0.858
0.500 0.500 0.500
```

Most stable: w) (next structure +63 meV per atom)

w) RbAs2Pd: optimized geometry, PBE.

Density (g/cm3): 5.43

```
RbAs2Pd
1.0
2.058 1.188 7.121
-2.058 1.188 7.121
0.000 -2.376 7.121
Rb As Pd
1 2 1
direct
0.000 0.000 0.000
0.551 0.551 0.551
0.793 0.793 0.793
0.174 0.174 0.174
```

x) RbAs2Pd: optimized geometry, PBE.

Density (g/cm3): 6.48

```
RbAs2Pd
1.0
0.000 3.525 3.525
3.525 0.000 3.525
3.525 3.525 0.000
Rb As Pd
1 2 1
direct
0.000 0.000 0.000
0.250 0.250 0.250
0.750 0.750 0.750
0.500 0.500 0.500
```

y) RbAs2Pd: optimized geometry, PBE.

Density (g/cm3): 5.92

```
RbAs2Pd
1.0
3.608 0.000 0.000
0.000 3.608 0.000
0.000 0.000 7.361
Rb As Pd
1 2 1
direct
0.000 0.000 0.000
0.500 0.500 0.340
0.500 0.500 0.660
0.000 0.000 0.500
```

Most stable: w) (next structure +124 meV per atom)

w) RbAs3Pd3: optimized geometry, PBE.

Density (g/cm3): 6.15

```
RbAs3Pd3
1.0
6.980 0.000 0.000
0.000 6.980 0.000
0.000 0.000 6.980
Rb As Pd
2 6 6
direct
0.000 0.000 0.000
0.500 0.500 0.500
0.000 0.250 0.500
0.000 0.750 0.500
0.250 0.500 0.000
0.500 0.000 0.250
0.500 0.000 0.750
0.750 0.500 0.000
0.000 0.500 0.250
0.000 0.500 0.750
0.250 0.000 0.500
0.500 0.250 0.000
0.500 0.750 0.000
0.750 0.000 0.500
```

x) RbAs3Pd3: optimized geometry, PBE.

Density (g/cm3): 5.62

```
RbAs3Pd3
1.0
3.585 2.070 8.352
-3.585 2.070 8.352
0.000 -4.139 8.352
Rb As Pd
2 6 6
direct
0.167 0.167 0.167
0.833 0.833 0.833
0.071 0.395 0.723
0.277 0.929 0.605
0.395 0.723 0.071
0.605 0.277 0.929
0.723 0.071 0.395
0.929 0.605 0.277
0.030 0.707 0.370
0.293 0.630 0.970
0.370 0.030 0.707
0.630 0.970 0.293
0.707 0.370 0.030
0.970 0.293 0.630
```

Most stable: x) (next structure +66 meV per atom)